GGA+U K2Mn3CoF12, relaxed; VASP energy = -5.40 eV/atom; space-group type = R-3m, No. 166
1.0
3.7156 2.1452 6.1238
-3.7156 2.1452 6.1238
0.0000 -4.2904 6.1238
K Mn Co F
2 3 1 12
direct
0.1627 0.1627 0.1627
0.8373 0.8373 0.8373
0.0000 0.5000 0.5000
0.5000 0.0000 0.5000
0.5000 0.5000 0.0000
0.5000 0.5000 0.5000
0.1746 0.1746 0.5548
0.1746 0.5548 0.1746
0.2005 0.5658 0.5658
0.4342 0.4342 0.7995
0.4342 0.7995 0.4342
0.4452 0.8254 0.8254
0.5548 0.1746 0.1746
0.5658 0.2005 0.5658
0.5658 0.5658 0.2005
0.7995 0.4342 0.4342
0.8254 0.4452 0.8254
0.8254 0.8254 0.4452